{"formula": "TcTeMo2", "functional": "PBE", "state": "optimized geometry", "e_form_raw_ev_per_atom": 0.337, "rho_g_cm3": 10.225, "dft_energy_ha_per_atom": -0.3107, "spacegroup": "Cm (8)", "cell": [[4.714, -1.573, 0.000], [4.714, 1.573, 0.000], [-1.361, 0.000, 4.571]], "species": ["Tc", "Te", "Mo", "Mo"], "fractional_positions": [[0.000, 0.000, 0.000], [0.249, 0.249, 0.658], [0.502, 0.502, 0.488], [0.729, 0.729, 0.129]]}

{"formula": "TcTeMo2", "functional": "PBE", "state": "optimized geometry", "e_form_raw_ev_per_atom": 0.534, "rho_g_cm3": 10.177, "dft_energy_ha_per_atom": -0.3035, "spacegroup": "C2/m (12)", "cell": [[2.738, -4.305, 0.000], [2.738, 4.305, 0.000], [-0.900, 0.000, 2.890]], "species": ["Tc", "Te", "Mo", "Mo"], "fractional_positions": [[0.000, 0.000, 0.000], [0.500, 0.500, 0.000], [0.000, 0.500, 0.500], [0.500, 0.000, 0.500]]}

{"formula": "TcTeMo2", "functional": "PBE", "state": "optimized geometry", "e_form_raw_ev_per_atom": 0.257, "rho_g_cm3": 10.255, "dft_energy_ha_per_atom": -0.3137, "spacegroup": "P4mm (99)", "cell": [[3.209, 0.000, 0.000], [0.000, 3.209, 0.000], [0.000, 0.000, 6.564]], "species": ["Tc", "Te", "Mo", "Mo"], "fractional_positions": [[0.000, 0.000, 0.000], [0.500, 0.500, 0.272], [0.000, 0.000, 0.529], [0.500, 0.500, 0.772]]}

{"formula": "TcTeMo2", "functional": "PBE", "state": "optimized geometry", "e_form_raw_ev_per_atom": 0.512, "rho_g_cm3": 10.277, "dft_energy_ha_per_atom": -0.3043, "spacegroup": "P4/mmm (123)", "cell": [[3.787, 0.000, 0.000], [0.000, 3.787, 0.000], [0.000, 0.000, 4.703]], "species": ["Tc", "Te", "Mo", "Mo"], "fractional_positions": [[0.000, 0.000, 0.000], [0.500, 0.500, 0.000], [0.000, 0.500, 0.500], [0.500, 0.000, 0.500]]}

{"formula": "TcTe2Mo", "functional": "PBE", "state": "optimized geometry", "e_form_raw_ev_per_atom": 0.506, "relative_energy_ev_per_fu": 1.72, "rho_g_cm3": 9.622, "dft_energy_ha_per_atom": -0.2339, "spacegroup": "Imm2 (44)", "cell": [[-1.651, 2.281, 5.144], [1.651, -2.281, 5.144], [1.651, 2.281, -5.144]], "species": ["Tc", "Te", "Te", "Mo"], "fractional_positions": [[0.000, 0.000, 0.000], [0.213, 0.713, 0.500], [0.492, 0.492, 0.000], [0.722, 0.222, 0.500]]}

{"formula": "TcTeMo2", "functional": "PBE", "state": "optimized geometry", "e_form_raw_ev_per_atom": 0.448, "rho_g_cm3": 10.428, "dft_energy_ha_per_atom": -0.3066, "spacegroup": "I-4m2 (119)", "cell": [[-1.956, 1.956, 4.345], [1.956, -1.956, 4.345], [1.956, 1.956, -4.345]], "species": ["Tc", "Te", "Mo", "Mo"], "fractional_positions": [[0.000, 0.000, 0.000], [0.250, 0.750, 0.500], [0.500, 0.500, 0.000], [0.750, 0.250, 0.500]]}

{"formula": "TcTe2Mo", "functional": "PBE", "state": "optimized geometry", "e_form_raw_ev_per_atom": 0.406, "relative_energy_ev_per_fu": 1.32, "rho_g_cm3": 9.803, "dft_energy_ha_per_atom": -0.2375, "spacegroup": "C2/m (12)", "cell": [[4.208, -1.630, 0.000], [4.208, 1.630, 0.000], [-1.286, 0.000, 5.547]], "species": ["Tc", "Te", "Te", "Mo"], "fractional_positions": [[0.000, 0.000, 0.000], [0.250, 0.250, 0.750], [0.750, 0.750, 0.250], [0.500, 0.500, 0.500]]}

{"formula": "TcTeMo2", "functional": "PBE", "state": "optimized geometry", "e_form_raw_ev_per_atom": 0.473, "rho_g_cm3": 10.237, "dft_energy_ha_per_atom": -0.3057, "spacegroup": "Cmmm (65)", "cell": [[2.612, -4.239, 0.000], [2.612, 4.239, 0.000], [0.000, 0.000, 3.057]], "species": ["Tc", "Te", "Mo", "Mo"], "fractional_positions": [[0.000, 0.000, 0.000], [0.500, 0.500, 0.000], [0.000, 0.500, 0.500], [0.500, 0.000, 0.500]]}

{"formula": "TcTe2Mo", "functional": "PBE", "state": "optimized geometry", "e_form_raw_ev_per_atom": 0.725, "relative_energy_ev_per_fu": 2.59, "rho_g_cm3": 9.726, "dft_energy_ha_per_atom": -0.2258, "spacegroup": "I-4m2 (119)", "cell": [[-2.114, 2.114, 4.291], [2.114, -2.114, 4.291], [2.114, 2.114, -4.291]], "species": ["Tc", "Te", "Te", "Mo"], "fractional_positions": [[0.000, 0.000, 0.000], [0.250, 0.750, 0.500], [0.500, 0.500, 0.000], [0.750, 0.250, 0.500]]}

{"formula": "TcTe2Mo", "functional": "PBE", "state": "optimized geometry", "e_form_raw_ev_per_atom": 0.854, "relative_energy_ev_per_fu": 3.11, "rho_g_cm3": 9.349, "dft_energy_ha_per_atom": -0.2211, "spacegroup": "C2/m (12)", "cell": [[3.294, -4.335, 0.000], [3.294, 4.335, 0.000], [-1.450, 0.000, 2.793]], "species": ["Tc", "Te", "Te", "Mo"], "fractional_positions": [[0.000, 0.000, 0.000], [0.000, 0.500, 0.000], [0.500, 0.000, 0.000], [0.500, 0.500, 0.000]]}

{"formula": "TcTe2Mo", "functional": "PBE", "state": "optimized geometry", "e_form_raw_ev_per_atom": 0.414, "relative_energy_ev_per_fu": 1.35, "rho_g_cm3": 9.815, "dft_energy_ha_per_atom": -0.2373, "spacegroup": "R-3m (166)", "cell": [[1.631, 0.942, 8.244], [-1.631, 0.942, 8.244], [0.000, -1.884, 8.244]], "species": ["Tc", "Te", "Te", "Mo"], "fractional_positions": [[0.000, 0.000, 0.000], [0.251, 0.251, 0.251], [0.749, 0.749, 0.749], [0.500, 0.500, 0.500]]}

{"formula": "TcTe2Mo", "functional": "PBE", "state": "optimized geometry", "e_form_raw_ev_per_atom": 0.857, "relative_energy_ev_per_fu": 3.12, "rho_g_cm3": 9.349, "dft_energy_ha_per_atom": -0.2210, "spacegroup": "Pmmm (47)", "cell": [[3.322, 0.000, 0.000], [0.000, 4.297, 0.000], [0.000, 0.000, 5.589]], "species": ["Tc", "Te", "Te", "Mo"], "fractional_positions": [[0.000, 0.000, 0.000], [0.000, 0.500, 0.500], [0.500, 0.500, 0.000], [0.500, 0.000, 0.500]]}

{"formula": "TcTe3Mo", "functional": "PBE", "state": "optimized geometry", "e_form_raw_ev_per_atom": 1.192, "relative_energy_ev_per_fu": 6.38, "rho_g_cm3": 6.473, "dft_energy_ha_per_atom": -0.1813, "spacegroup": "Pm-3m (221)", "cell": [[5.289, 0.000, 0.000], [0.000, 5.289, 0.000], [0.000, 0.000, 5.289]], "species": ["Tc", "Te", "Te", "Te", "Mo"], "fractional_positions": [[0.000, 0.000, 0.000], [0.000, 0.500, 0.500], [0.500, 0.000, 0.500], [0.500, 0.500, 0.000], [0.500, 0.500, 0.500]]}

{"formula": "TcTeMo2", "functional": "PBE", "state": "optimized geometry", "e_form_raw_ev_per_atom": 0.572, "rho_g_cm3": 9.754, "dft_energy_ha_per_atom": -0.3021, "spacegroup": "Cmm2 (35)", "cell": [[1.621, -2.415, 0.000], [1.621, 2.415, 0.000], [0.000, 0.000, 9.077]], "species": ["Tc", "Te", "Mo", "Mo"], "fractional_positions": [[0.000, 0.000, 0.000], [0.500, 0.500, 0.275], [0.000, 0.000, 0.549], [0.500, 0.500, 0.778]]}

{"formula": "TcTe2Mo", "functional": "PBE", "state": "optimized geometry", "e_form_raw_ev_per_atom": 0.972, "relative_energy_ev_per_fu": 3.58, "rho_g_cm3": 9.390, "dft_energy_ha_per_atom": -0.2168, "spacegroup": "F-43m (216)", "cell": [[0.000, 3.412, 3.412], [3.412, 0.000, 3.412], [3.412, 3.412, 0.000]], "species": ["Tc", "Te", "Te", "Mo"], "fractional_positions": [[0.000, 0.000, 0.000], [0.250, 0.250, 0.250], [0.500, 0.500, 0.500], [0.750, 0.750, 0.750]]}

{"formula": "TcTe2Mo", "functional": "PBE", "state": "optimized geometry", "e_form_raw_ev_per_atom": 0.853, "relative_energy_ev_per_fu": 3.11, "rho_g_cm3": 9.358, "dft_energy_ha_per_atom": -0.2211, "spacegroup": "Immm (71)", "cell": [[-1.665, 2.789, 4.291], [1.665, -2.789, 4.291], [1.665, 2.789, -4.291]], "species": ["Tc", "Te", "Te", "Mo"], "fractional_positions": [[0.000, 0.000, 0.000], [0.244, 0.744, 0.500], [0.756, 0.256, 0.500], [0.500, 0.500, 0.000]]}

{"formula": "TcTe2Mo", "functional": "PBE", "state": "optimized geometry", "e_form_raw_ev_per_atom": 0.576, "relative_energy_ev_per_fu": 2.00, "rho_g_cm3": 8.796, "dft_energy_ha_per_atom": -0.2313, "spacegroup": "R-3m (166)", "cell": [[1.650, 0.952, 8.996], [-1.650, 0.952, 8.996], [0.000, -1.905, 8.996]], "species": ["Tc", "Te", "Te", "Mo"], "fractional_positions": [[0.000, 0.000, 0.000], [0.094, 0.094, 0.094], [0.906, 0.906, 0.906], [0.500, 0.500, 0.500]]}

{"formula": "TcTe4Mo", "functional": "PBE", "state": "optimized geometry", "e_form_raw_ev_per_atom": 1.604, "rho_g_cm3": 6.792, "dft_energy_ha_per_atom": -0.1479, "spacegroup": "F-43m (216)", "cell": [[0.000, 4.416, 4.416], [4.416, 0.000, 4.416], [4.416, 4.416, 0.000]], "species": ["Tc", "Te", "Te", "Te", "Te", "Mo"], "fractional_positions": [[0.000, 0.000, 0.000], [0.125, 0.625, 0.625], [0.625, 0.125, 0.625], [0.625, 0.625, 0.125], [0.625, 0.625, 0.625], [0.250, 0.250, 0.250]]}

{"formula": "TcTe2Mo", "functional": "PBE", "state": "optimized geometry", "e_form_raw_ev_per_atom": 0.077, "relative_energy_ev_per_fu": 0.00, "rho_g_cm3": 8.583, "dft_energy_ha_per_atom": -0.2496, "spacegroup": "P4mm (99)", "cell": [[3.194, 0.000, 0.000], [0.000, 3.194, 0.000], [0.000, 0.000, 8.516]], "species": ["Tc", "Te", "Te", "Mo"], "fractional_positions": [[0.000, 0.000, 0.000], [0.000, 0.000, 0.598], [0.500, 0.500, 0.180], [0.500, 0.500, 0.789]]}

{"formula": "TcTe3Mo", "functional": "PBE", "state": "optimized geometry", "e_form_raw_ev_per_atom": -0.083, "relative_energy_ev_per_fu": 0.00, "rho_g_cm3": 7.365, "dft_energy_ha_per_atom": -0.2281, "spacegroup": "C2/m (12)", "cell": [[9.198, -1.602, 0.000], [9.198, 1.602, 0.000], [-4.233, 0.000, 8.823]], "species": ["Tc", "Tc", "Te", "Te", "Te", "Te", "Te", "Te", "Mo", "Mo"], "fractional_positions": [[0.063, 0.063, 0.463], [0.937, 0.937, 0.537], [0.159, 0.159, 0.946], [0.306, 0.306, 0.382], [0.444, 0.444, 0.774], [0.556, 0.556, 0.226], [0.694, 0.694, 0.618], [0.841, 0.841, 0.054], [0.431, 0.431, 0.304], [0.569, 0.569, 0.696]]}